# Sr3DyFe2O9 PBE+U relaxed
# - ρ (g cm⁻³) = 5.7
# - density of states at the Fermi level (states/eV/cell) = 8.1
# - electronic total energy (eV per cell) = -98.24
data_Sr3DyFe2O9
_cell_length_a 5.6784
_cell_length_b 5.6784
_cell_length_c 7.1014
_cell_angle_alpha 90.00
_cell_angle_beta 90.00
_cell_angle_gamma 120.00
_space_group_name_H-M_alt 'P -3 m 1'
_space_group_IT_number 164
_space_group_name_Hall '-P 3 2"'
loop_
_atom_site_label
_atom_site_fract_x
_atom_site_fract_y
_atom_site_fract_z
Sr1 0.0000 0.0000 0.0000
Sr2 0.3333 0.6667 0.6964
Dy1 0.0000 0.0000 0.5000
Fe1 0.3333 0.6667 0.1616
O1 0.0000 0.5000 0.0000
O2 0.1748 0.3495 0.3113